Entry 1:
VASP calculation (PBEsol) on a relaxed Dy2TeS2 crystal.

Cell and atoms, written as extended XYZ:
```
5
Lattice="4.118 0.000 0.000 0.000 5.307 0.000 -2.059 -2.653 6.641" Properties=species:S:1:pos:R:3 pbc="T T T"
S 2.059 2.653 2.676
S 0.000 0.000 3.965
Te 0.000 0.000 0.000
Dy 0.000 2.653 4.417
Dy 2.059 0.000 2.224
```

E (Ha/atom): -0.232
Symmetry: Immm



Entry 2:
VASP calculation (PBEsol) on a relaxed Sc2Zn crystal.

Cell and atoms, written as extended XYZ:
```
24
Lattice="8.780 0.000 0.000 4.390 7.604 0.000 4.390 2.535 7.169" Properties=species:S:1:pos:R:3 pbc="T T T"
Sc 6.585 6.337 4.481
Sc 10.975 6.337 4.481
Sc 8.780 5.069 0.896
Sc 8.780 2.535 4.481
Sc 4.390 4.417 3.124
Sc 2.760 3.476 0.461
Sc 6.021 3.476 0.461
Sc 2.760 1.593 3.124
Sc 6.021 1.593 3.124
Sc 4.390 0.652 0.461
Sc 8.780 8.256 5.838
Sc 6.021 6.663 1.331
Sc 11.540 6.663 1.331
Sc 6.021 3.476 5.838
Sc 11.540 3.476 5.838
Sc 8.780 1.883 1.331
Zn 13.170 5.809 6.011
Zn 13.170 7.604 3.473
Zn 14.725 8.501 6.011
Zn 11.616 8.501 6.011
Zn 8.780 6.864 2.950
Zn 8.780 5.069 5.488
Zn 7.226 4.172 2.950
Zn 10.335 4.172 2.950
```

ΔH_f (0 K) (eV/atom): -0.24
Symmetry: Fd-3m



Entry 3:
VASP calculation (PBEsol) on a relaxed Ba2SrAs crystal.

Cell and atoms, written as extended XYZ:
```
4
Lattice="-1.606 2.169 2.985 1.278 -2.727 2.669 8.961 5.213 1.033" Properties=species:S:1:pos:R:3 pbc="T T T"
Sr 5.308 3.088 0.612
As 6.444 3.565 3.589
Ba 8.128 4.728 0.937
Ba 2.195 1.094 3.099
```

ΔH_f (0 K) (eV/atom): -0.55
Symmetry: P4mm



Entry 4:
VASP calculation (PBEsol) on a relaxed KLa2Fe crystal.

Cell and atoms, written as extended XYZ:
```
4
Lattice="-0.598 1.059 3.802 -3.320 -1.152 1.894 3.453 -8.595 5.033" Properties=species:S:1:pos:R:3 pbc="T T T"
Fe 0.000 0.000 0.000
K -0.233 -4.344 5.364
La 0.181 -7.469 8.396
La -0.646 -1.218 2.333
```

ΔH_f (0 K) (eV/atom): 0.20
Symmetry: R-3m



Entry 5:
VASP calculation (PBEsol) on a relaxed Ta2AlTl crystal.

Cell and atoms, written as extended XYZ:
```
4
Lattice="2.984 0.000 0.000 1.492 2.584 0.000 1.492 0.861 9.573" Properties=species:S:1:pos:R:3 pbc="T T T"
Tl 2.984 1.723 4.787
Al 0.000 0.000 0.000
Ta 1.492 0.861 2.301
Ta 4.476 2.584 7.273
```

ΔH_f (0 K) (eV/atom): 0.27
Symmetry: R-3m



Entry 6:
VASP calculation (PBEsol) on a relaxed CaCrCo crystal.

Cell and atoms, written as extended XYZ:
```
3
Lattice="4.321 0.000 0.000 2.160 3.742 0.000 2.160 1.247 3.528" Properties=species:S:1:pos:R:3 pbc="T T T"
Cr 0.000 0.000 0.000
Ca 4.321 2.494 1.764
Co 2.160 1.247 0.882
```

ΔH_f (0 K) (eV/atom): 0.93
Symmetry: F-43m



Entry 7:
VASP calculation (PBEsol) on a relaxed LiZn2Re crystal.

Cell and atoms, written as extended XYZ:
```
4
Lattice="3.842 0.000 0.000 0.000 3.842 0.000 -1.921 -1.921 3.606" Properties=species:S:1:pos:R:3 pbc="T T T"
Li 1.921 1.921 0.000
Re 0.000 0.000 0.000
Zn 1.921 0.000 1.803
Zn 0.000 1.921 1.803
```

ΔH_f (0 K) (eV/atom): 0.32
Symmetry: I4/mmm



Entry 8:
VASP calculation (PBEsol) on a relaxed LiTlIr crystal.

Cell and atoms, written as extended XYZ:
```
3
Lattice="2.922 0.000 0.000 0.000 4.331 0.000 0.000 -2.166 3.751" Properties=species:S:1:pos:R:3 pbc="T T T"
Ir 2.778 0.000 0.000
Li 1.897 0.000 2.501
Tl 1.169 2.166 1.250
```

ΔH_f (0 K) (eV/atom): 0.12
Symmetry: P3m1



Entry 9:
VASP calculation (PBEsol) on a relaxed LaMoP2 crystal.

Cell and atoms, written as extended XYZ:
```
4
Lattice="-2.087 0.052 -2.289 -2.373 -1.992 0.021 -6.185 4.996 3.658" Properties=species:S:1:pos:R:3 pbc="T T T"
La -5.388 1.607 0.757
Mo -2.373 0.418 0.077
P -6.174 4.984 3.648
P -8.217 2.573 1.262
```

ΔH_f (0 K) (eV/atom): 0.12
Symmetry: R3m



Entry 10:
VASP calculation (PBEsol) on a relaxed SrGdCoO4 crystal.

Cell and atoms, written as extended XYZ:
```
7
Lattice="3.714 0.000 0.000 0.000 3.714 0.000 -1.857 -1.857 5.992" Properties=species:S:1:pos:R:3 pbc="T T T"
Sr 0.000 0.000 4.278
Gd 1.857 1.857 1.649
Co 1.857 1.857 5.900
O 0.000 0.000 1.900
O 1.857 1.857 3.944
O 0.000 1.857 0.152
O 1.857 0.000 0.152
```

E (Ha/atom): -0.326
Symmetry: I4mm



Entry 11:
VASP calculation (PBEsol) on a relaxed Zr2ScCr crystal.

Cell and atoms, written as extended XYZ:
```
4
Lattice="4.329 0.000 0.000 0.000 4.329 0.000 0.000 0.000 4.249" Properties=species:S:1:pos:R:3 pbc="T T T"
Cr 2.165 0.000 2.125
Sc 0.000 2.165 2.125
Zr 0.000 0.000 0.000
Zr 2.165 2.165 0.000
```

ΔH_f (0 K) (eV/atom): 0.29
Symmetry: P4/mmm



Entry 12:
VASP calculation (PBEsol) on a relaxed SbTeAu crystal.

Cell and atoms, written as extended XYZ:
```
3
Lattice="4.121 0.000 0.000 -2.061 3.569 0.000 0.000 0.000 5.067" Properties=species:S:1:pos:R:3 pbc="T T T"
Sb 2.061 1.190 3.602
Te 0.000 2.379 1.499
Au 0.000 0.000 5.034
```

E (Ha/atom): -0.152
Symmetry: P3m1



Repeat the twelfth record exactly.
VASP calculation (PBEsol) on a relaxed SbTeAu crystal.

Cell and atoms, written as extended XYZ:
```
3
Lattice="4.121 0.000 0.000 -2.061 3.569 0.000 0.000 0.000 5.067" Properties=species:S:1:pos:R:3 pbc="T T T"
Sb 2.061 1.190 3.602
Te 0.000 2.379 1.499
Au 0.000 0.000 5.034
```

E (Ha/atom): -0.152
Symmetry: P3m1